1.
## Dy2Ho2Tl (PBE-GGA)

Data for Dy2Ho2Tl after structural relaxation.

Unit cell a=8.347 b=6.338 c=8.819 alpha=70.31 beta=59.23 gamma=48.81
Fractional positions:
Dy: 0.667 0.369 0.717
Dy: 0.333 0.631 0.283
Tl: 0.834 0.333 0.000
Tl: 0.166 0.667 0.000
Ho: 0.394 0.000 0.883
Ho: 0.732 0.000 0.428
Ho: 0.268 0.000 0.572
Ho: 0.606 0.000 0.117
Dy: 0.964 0.369 0.283
Dy: 0.036 0.631 0.717

Computed properties:
ΔE_f in eV per atom: -0.05
Excess energy over the best structure of this formula in the dataset in eV/atom: 0.000
Size of the total moment in Bohr magnetons per cell: 0.00
Calculated volume in Å³/f.u.: 150.9

---

2.
## Dy4Ho6Tl (PBE-GGA)

Data for Dy4Ho6Tl after structural relaxation.

Unit cell a=3.607 b=11.323 c=9.577 alpha=115.02 beta=90.00 gamma=80.86
Fractional positions:
Ho: 0.210 0.519 0.451
Tl: 0.978 0.985 0.992
Dy: 0.558 0.824 0.154
Ho: 0.970 0.999 0.499
Ho: 0.210 0.519 0.069
Ho: 0.384 0.171 0.346
Ho: 0.141 0.657 0.829
Ho: 0.384 0.171 0.825
Dy: 0.558 0.824 0.669
Dy: 0.787 0.364 0.682
Dy: 0.819 0.300 0.150

Computed properties:
ΔE_f in eV per atom: 0.08
Size of the total moment in Bohr magnetons per cell: 0.00
Calculated volume in Å³/f.u.: 349.0

---

3.
## Dy4HoTl (PBE-GGA)

Data for Dy4HoTl after structural relaxation.

Unit cell a=6.438 b=8.975 c=8.251 alpha=112.64 beta=99.70 gamma=114.04
Fractional positions:
Dy: 0.635 0.094 0.381
Tl: 0.750 0.000 0.000
Tl: 0.250 0.000 0.000
Dy: 0.365 0.906 0.619
Dy: 0.207 0.588 0.749
Dy: 0.958 0.839 0.251
Ho: 0.661 0.411 0.821
Ho: 0.339 0.589 0.179
Dy: 0.793 0.412 0.251
Dy: 0.246 0.287 0.381
Dy: 0.754 0.713 0.619
Dy: 0.042 0.161 0.749

Computed properties:
ΔE_f in eV per atom: -0.01
Excess energy over the best structure of this formula in the dataset in eV/atom: 0.090
Size of the total moment in Bohr magnetons per cell: 0.00
Calculated volume in Å³/f.u.: 185.3

---

4.
## Dy6HoTl2 (PBE-GGA)

Data for Dy6HoTl2 after structural relaxation.

Unit cell a=3.734 b=6.655 c=11.802 alpha=74.72 beta=80.90 gamma=73.71
Fractional positions:
Dy: 0.690 0.205 0.414
Dy: 0.014 0.316 0.655
Tl: 0.639 0.926 0.796
Dy: 0.685 0.507 0.124
Tl: 0.361 0.074 0.204
Dy: 0.310 0.795 0.586
Dy: 0.315 0.493 0.876
Ho: 0.000 0.000 0.000
Dy: 0.986 0.684 0.345

Computed properties:
ΔE_f in eV per atom: -0.15
Excess energy over the best structure of this formula in the dataset in eV/atom: 0.000
Size of the total moment in Bohr magnetons per cell: 0.00
Calculated volume in Å³/f.u.: 270.4

---

5.
## DyHo5Tl6 (PBE-GGA)

Data for DyHo5Tl6 after structural relaxation.

Unit cell a=6.513 b=9.800 c=7.435 alpha=48.77 beta=81.67 gamma=77.30
Fractional positions:
Ho: 0.000 0.334 0.333
Tl: 0.250 0.917 0.666
Dy: 0.000 0.000 0.000
Ho: 0.500 0.833 0.333
Tl: 0.251 0.250 0.000
Tl: 0.250 0.583 0.334
Ho: 0.000 0.666 0.667
Ho: 0.500 0.167 0.667
Tl: 0.750 0.083 0.334
Tl: 0.750 0.417 0.666
Ho: 0.500 0.500 0.000
Tl: 0.749 0.750 0.000

Computed properties:
ΔE_f in eV per atom: -0.25
Excess energy over the best structure of this formula in the dataset in eV/atom: 0.080
Size of the total moment in Bohr magnetons per cell: 0.00
Calculated volume in Å³/f.u.: 348.2

---

6.
## Dy4HoTl5 (PBE-GGA)

Data for Dy4HoTl5 after structural relaxation.

Unit cell a=3.756 b=3.756 c=19.324 alpha=90.00 beta=90.00 gamma=90.00
Fractional positions:
Tl: 0.500 0.500 0.700
Dy: 0.000 0.000 0.400
Tl: 0.500 0.500 0.901
Tl: 0.500 0.500 0.500
Tl: 0.500 0.500 0.099
Dy: 0.000 0.000 0.199
Dy: 0.000 0.000 0.600
Ho: 0.000 0.000 0.000
Tl: 0.500 0.500 0.300
Dy: 0.000 0.000 0.801

Computed properties:
ΔE_f in eV per atom: -0.34
Size of the total moment in Bohr magnetons per cell: 0.00
Calculated volume in Å³/f.u.: 272.6

---

7.
## Dy8Ho2Tl (PBE-GGA)

Data for Dy8Ho2Tl after structural relaxation.

Unit cell a=4.921 b=6.110 c=12.584 alpha=76.47 beta=90.00 gamma=113.75
Fractional positions:
Dy: 0.138 0.276 0.547
Dy: 0.961 0.923 0.822
Dy: 0.238 0.475 0.912
Ho: 0.686 0.372 0.733
Dy: 0.592 0.183 0.362
Ho: 0.314 0.628 0.267
Dy: 0.408 0.817 0.638
Dy: 0.039 0.077 0.178
Dy: 0.762 0.525 0.088
Dy: 0.862 0.724 0.453
Tl: 0.500 0.000 0.000

Computed properties:
ΔE_f in eV per atom: -0.03
Excess energy over the best structure of this formula in the dataset in eV/atom: 0.000
Size of the total moment in Bohr magnetons per cell: 0.00
Calculated volume in Å³/f.u.: 334.8

---

8.
## Dy3Ho2Tl2 (PBE-GGA)

Data for Dy3Ho2Tl2 after structural relaxation.

Unit cell a=5.391 b=5.389 c=8.605 alpha=108.26 beta=90.04 gamma=119.99
Fractional positions:
Dy: 0.654 0.309 0.463
Tl: 0.216 0.432 0.148
Tl: 0.784 0.568 0.852
Dy: 0.500 0.000 0.000
Ho: 0.926 0.851 0.277
Ho: 0.074 0.149 0.723
Dy: 0.346 0.691 0.537

Computed properties:
ΔE_f in eV per atom: -0.20
Excess energy over the best structure of this formula in the dataset in eV/atom: 0.000
Size of the total moment in Bohr magnetons per cell: 0.00
Calculated volume in Å³/f.u.: 201.8

---

9.
## DyHoTl2 (PBE-GGA)

Data for DyHoTl2 after structural relaxation.

Unit cell a=3.595 b=5.527 c=5.527 alpha=100.27 beta=89.99 gamma=89.99
Fractional positions:
Tl: 0.000 0.000 0.500
Tl: 0.000 0.500 0.000
Ho: 0.500 0.500 0.500
Dy: 0.500 0.000 0.000

Computed properties:
ΔE_f in eV per atom: -0.33
Size of the total moment in Bohr magnetons per cell: 0.00
Calculated volume in Å³/f.u.: 108.0

---

10.
## DyHo3Tl2 (PBE-GGA)

Data for DyHo3Tl2 after structural relaxation.

Unit cell a=4.883 b=8.942 c=9.279 alpha=118.81 beta=105.26 gamma=90.00
Fractional positions:
Dy: 0.000 0.000 0.000
Tl: 0.653 0.653 0.305
Dy: 0.000 0.500 0.000
Ho: 0.500 0.250 0.000
Ho: 0.173 0.423 0.345
Ho: 0.827 0.577 0.655
Ho: 0.827 0.077 0.655
Tl: 0.347 0.847 0.695
Ho: 0.173 0.923 0.345
Tl: 0.653 0.153 0.305
Ho: 0.500 0.750 0.000
Tl: 0.347 0.347 0.695

Computed properties:
ΔE_f in eV per atom: -0.19
Excess energy over the best structure of this formula in the dataset in eV/atom: 0.072
Size of the total moment in Bohr magnetons per cell: 0.00
Calculated volume in Å³/f.u.: 169.3

---

11.
## Dy2HoTl (PBE-GGA)

Data for Dy2HoTl after structural relaxation.

Unit cell a=3.624 b=6.644 c=10.255 alpha=90.00 beta=90.00 gamma=105.82
Fractional positions:
Tl: 0.755 0.509 0.750
Dy: 0.370 0.739 0.532
Tl: 0.245 0.491 0.250
Ho: 0.961 0.922 0.250
Dy: 0.370 0.739 0.968
Dy: 0.630 0.261 0.468
Dy: 0.630 0.261 0.032
Ho: 0.039 0.078 0.750

Computed properties:
ΔE_f in eV per atom: -0.16
Excess energy over the best structure of this formula in the dataset in eV/atom: 0.028
Size of the total moment in Bohr magnetons per cell: 0.01
Calculated volume in Å³/f.u.: 118.8

---

12.
## Dy4Ho5Tl (PBE-GGA)

Data for Dy4Ho5Tl after structural relaxation.

Unit cell a=3.544 b=3.544 c=24.308 alpha=90.00 beta=90.00 gamma=90.00
Fractional positions:
Dy: 0.000 0.000 0.397
Ho: 0.500 0.500 0.294
Tl: 0.000 0.000 0.000
Ho: 0.500 0.500 0.088
Dy: 0.000 0.000 0.191
Ho: 0.500 0.500 0.500
Dy: 0.000 0.000 0.809
Dy: 0.000 0.000 0.603
Ho: 0.500 0.500 0.912
Ho: 0.500 0.500 0.706

Computed properties:
ΔE_f in eV per atom: -0.05
Excess energy over the best structure of this formula in the dataset in eV/atom: 0.000
Size of the total moment in Bohr magnetons per cell: 0.00
Calculated volume in Å³/f.u.: 305.4

---

Question: Which formula does entry 9 have?
Answer: DyHoTl2

---

Question: Number 10 is which compound?
Answer: DyHo3Tl2

---

Question: ΔE_f of number 10 (DyHo3Tl2)?
Answer: -0.19 eV per atom